Entry 1:
First-principles (PBE) data for crystalline CdTcSb2 at its relaxed geometry, as listed in Alexandria via LeMat-Bulk.

As for the calculated volume: 21.15 A^3/atom. Its spin magnetization is 0.65 Bohr magnetons per cell. The energy relative to the elements, uncorrected is 0.4766 eV per atom.

It has space group P-1 (No. 2), with a = 3.539 Å, b = 4.935 Å, c = 4.975 Å, α = 103.14°, β = 90.18° and γ = 90.03°. The distinct sites, in fractional coordinates, are Cd at (0.000, 0.000, 0.000), Tc at (0.000, 0.500, 0.500), Sb at (0.500, 0.000, 0.500) and Sb at (0.500, 0.500, 0.000).

***

Entry 2:
First-principles (PBE) data for crystalline Cd2TcSb at its relaxed geometry, as listed in Alexandria via LeMat-Bulk.

As for the calculated volume: 20.40 A^3/atom. Its spin magnetization is 0.07 Bohr magnetons per cell. The energy relative to the elements, uncorrected is 0.4022 eV per atom.

It has space group P2/m (No. 10), with a = 3.091 Å, b = 5.571 Å, c = 4.745 Å, α = 90.00°, β = 92.81° and γ = 90.00°. The distinct sites, in fractional coordinates, are Cd at (0.249, 0.000, 0.245), Tc at (0.000, 0.500, 0.000) and Sb at (0.500, 0.500, 0.500).

***

Entry 3:
First-principles (PBE) data for crystalline CdTc2Sb at its relaxed geometry, as listed in Alexandria via LeMat-Bulk.

As for the calculated volume: 17.98 A^3/atom. For the offset from the most stable computed form, the calculation gives 0.3349 eV per atom. Its spin magnetization is 0.01 Bohr magnetons per cell. The energy relative to the elements, uncorrected is 0.4674 eV per atom.

It has space group C2/m (No. 12), with a = 8.767 Å, b = 3.126 Å, c = 5.371 Å, α = 90.00°, β = 102.26° and γ = 90.00°. The distinct sites, in fractional coordinates, are Cd at (0.000, 0.000, 0.000), Tc at (0.241, 0.000, 0.722) and Sb at (0.000, 0.500, 0.500).

***

Entry 4:
First-principles (PBE) data for crystalline Cd2TcSb at its relaxed geometry, as listed in Alexandria via LeMat-Bulk.

As for the calculated volume: 21.62 A^3/atom. Its spin magnetization is 0.00 Bohr magnetons per cell. The energy relative to the elements, uncorrected is 0.2364 eV per atom.

It has space group Cm (No. 8), with a = 9.458 Å, b = 3.564 Å, c = 6.087 Å, α = 90.00°, β = 122.54° and γ = 90.00°. The distinct sites, in fractional coordinates, are Cd at (0.000, 0.000, 0.000), Cd at (0.211, 0.000, 0.785), Tc at (0.213, 0.500, 0.432) and Sb at (0.406, 0.000, 0.390).

***

Entry 5:
First-principles (PBE) data for crystalline CdTcSb2 at its relaxed geometry, as listed in Alexandria via LeMat-Bulk.

As for the calculated volume: 21.80 A^3/atom. Its spin magnetization is 1.68 Bohr magnetons per cell. The energy relative to the elements, uncorrected is 0.4499 eV per atom.

It has space group Immm (No. 71), with a = 3.866 Å, b = 5.200 Å, c = 8.675 Å, α = 90.00°, β = 90.00° and γ = 90.00°. The distinct sites, in fractional coordinates, are Cd at (0.000, 0.000, 0.000), Tc at (0.000, 0.000, 0.500) and Sb at (0.000, 0.500, 0.231).

***

Entry 6:
First-principles (PBE) data for crystalline CdTc2Sb at its relaxed geometry, as listed in Alexandria via LeMat-Bulk.

As for the calculated volume: 17.08 A^3/atom. For the offset from the most stable computed form, the calculation gives 0.2698 eV per atom. Its spin magnetization is 0.00 Bohr magnetons per cell. The energy relative to the elements, uncorrected is 0.4024 eV per atom.

It has space group Fm-3m (No. 225), with a = 6.490 Å, b = 6.490 Å, c = 6.490 Å, α = 90.00°, β = 90.00° and γ = 90.00°. The distinct sites, in fractional coordinates, are Cd at (0.000, 0.000, 0.000), Tc at (0.250, 0.250, 0.250) and Sb at (0.000, 0.000, 0.500).

***

Entry 7:
First-principles (PBE) data for crystalline Cd2TcSb at its relaxed geometry, as listed in Alexandria via LeMat-Bulk.

As for the calculated volume: 27.14 A^3/atom. Its spin magnetization is 3.17 Bohr magnetons per cell. The energy relative to the elements, uncorrected is 0.5710 eV per atom.

It has space group I-42d (No. 122), with a = 9.256 Å, b = 9.256 Å, c = 5.068 Å, α = 90.00°, β = 90.00° and γ = 90.00°. The distinct sites, in fractional coordinates, are Cd at (0.143, 0.250, 0.125), Tc at (0.000, 0.000, 0.000) and Sb at (0.000, 0.000, 0.500).

***

Entry 8:
First-principles (PBE) data for crystalline CdTcSb3 at its relaxed geometry, as listed in Alexandria via LeMat-Bulk.

As for the calculated volume: 32.21 A^3/atom. For the offset from the most stable computed form, the calculation gives 1.0396 eV per atom. Its spin magnetization is 3.32 Bohr magnetons per cell. The energy relative to the elements, uncorrected is 1.4661 eV per atom.

It has space group Pm-3m (No. 221), with a = 5.441 Å, b = 5.441 Å, c = 5.441 Å, α = 90.00°, β = 90.00° and γ = 90.00°. The distinct sites, in fractional coordinates, are Cd at (0.000, 0.000, 0.000), Tc at (0.500, 0.500, 0.500) and Sb at (0.000, 0.000, 0.500).

***

Entry 9:
First-principles (PBE) data for crystalline Cd2TcSb at its relaxed geometry, as listed in Alexandria via LeMat-Bulk.

As for the calculated volume: 20.31 A^3/atom. Its spin magnetization is 0.00 Bohr magnetons per cell. The energy relative to the elements, uncorrected is 0.4102 eV per atom.

It has space group P4/mmm (No. 123), with a = 3.836 Å, b = 3.836 Å, c = 5.521 Å, α = 90.00°, β = 90.00° and γ = 90.00°. The distinct sites, in fractional coordinates, are Cd at (0.000, 0.000, 0.239), Tc at (0.500, 0.500, 0.000) and Sb at (0.500, 0.500, 0.500).

***

Entry 10:
First-principles (PBE) data for crystalline CdTcSb2 at its relaxed geometry, as listed in Alexandria via LeMat-Bulk.

As for the calculated volume: 21.45 A^3/atom. Its spin magnetization is 0.00 Bohr magnetons per cell. The energy relative to the elements, uncorrected is 0.3016 eV per atom.

It has space group Pm (No. 6), with a = 3.536 Å, b = 4.701 Å, c = 5.453 Å, α = 90.00°, β = 108.83° and γ = 90.00°. The distinct sites, in fractional coordinates, are Cd at (0.000, 0.000, 0.000), Tc at (0.839, 0.500, 0.676), Sb at (0.269, 0.000, 0.539) and Sb at (0.555, 0.500, 0.109).

***

Entry 11:
First-principles (PBE) data for crystalline CdTc2Sb at its relaxed geometry, as listed in Alexandria via LeMat-Bulk.

As for the calculated volume: 17.87 A^3/atom. For the offset from the most stable computed form, the calculation gives 0.4746 eV per atom. Its spin magnetization is 4.47 Bohr magnetons per cell. The energy relative to the elements, uncorrected is 0.6072 eV per atom.

It has space group F-43m (No. 216), with a = 6.588 Å, b = 6.588 Å, c = 6.588 Å, α = 90.00°, β = 90.00° and γ = 90.00°. The distinct sites, in fractional coordinates, are Cd at (0.000, 0.000, 0.000), Tc at (0.000, 0.000, 0.500), Tc at (0.250, 0.250, 0.750) and Sb at (0.250, 0.250, 0.250).

***

Entry 12:
First-principles (PBE) data for crystalline CdTcSb3 at its relaxed geometry, as listed in Alexandria via LeMat-Bulk.

As for the calculated volume: 28.08 A^3/atom. For the offset from the most stable computed form, the calculation gives 0.0000 eV per atom. Its spin magnetization is 0.00 Bohr magnetons per cell. The energy relative to the elements, uncorrected is 0.4265 eV per atom.

It has space group Pm-3m (No. 221), with a = 5.197 Å, b = 5.197 Å, c = 5.197 Å, α = 90.00°, β = 90.00° and γ = 90.00°. The distinct sites, in fractional coordinates, are Cd at (0.000, 0.000, 0.000), Tc at (0.500, 0.500, 0.500) and Sb at (0.000, 0.500, 0.500).

***

Entry 13:
First-principles (PBE) data for crystalline CdTcSb2 at its relaxed geometry, as listed in Alexandria via LeMat-Bulk.

As for the calculated volume: 21.40 A^3/atom. Its spin magnetization is 2.17 Bohr magnetons per cell. The energy relative to the elements, uncorrected is 0.5425 eV per atom.

It has space group I-4m2 (No. 119), with a = 4.239 Å, b = 4.239 Å, c = 9.529 Å, α = 90.00°, β = 90.00° and γ = 90.00°. The distinct sites, in fractional coordinates, are Cd at (0.000, 0.000, 0.000), Tc at (0.000, 0.500, 0.250), Sb at (0.000, 0.000, 0.500) and Sb at (0.000, 0.500, 0.750).

***

Entry 14:
First-principles (PBE) data for crystalline CdTc3Sb at its relaxed geometry, as listed in Alexandria via LeMat-Bulk.

As for the calculated volume: 23.13 A^3/atom. For the offset from the most stable computed form, the calculation gives 0.0000 eV per atom. Its spin magnetization is 3.39 Bohr magnetons per cell. The energy relative to the elements, uncorrected is 1.6966 eV per atom.

It has space group Pm-3m (No. 221), with a = 4.872 Å, b = 4.872 Å, c = 4.872 Å, α = 90.00°, β = 90.00° and γ = 90.00°. The distinct sites, in fractional coordinates, are Cd at (0.000, 0.000, 0.000), Tc at (0.000, 0.500, 0.500) and Sb at (0.500, 0.500, 0.500).

***

Entry 15:
First-principles (PBE) data for crystalline CdTc2Sb2 at its relaxed geometry, as listed in Alexandria via LeMat-Bulk.

As for the calculated volume: 21.55 A^3/atom. For the offset from the most stable computed form, the calculation gives 0.2531 eV per atom. Its spin magnetization is 0.00 Bohr magnetons per cell. The energy relative to the elements, uncorrected is 0.4123 eV per atom.

It has space group I4/mmm (No. 139), with a = 4.392 Å, b = 4.392 Å, c = 11.170 Å, α = 90.00°, β = 90.00° and γ = 90.00°. The distinct sites, in fractional coordinates, are Cd at (0.000, 0.000, 0.000), Tc at (0.000, 0.000, 0.390) and Sb at (0.000, 0.500, 0.250).

***

no.,raw total energy (eV per atom)
1,-4.405
2,-3.677
3,-5.975
4,-3.843
5,-4.432
6,-6.040
7,-3.509
8,-3.264
9,-3.669
10,-4.580
11,-5.835
12,-4.303
13,-4.339
14,-5.531
15,-5.566